# LaTaN3

An optimized crystal structure of LaTaN3 (PBE-GGA, Alexandria).

Output
Its crystal system is triclinic.

Cell: 3.6797 5.8723 6.7176 Å, 88.28 87.29 88.36°
Space group P1 (No. 1)
Asymmetric unit:
La (0.0000, 0.0000, 0.0000)
La (0.0661, 0.5459, 0.6553)
Ta (0.4986, 0.4794, 0.1750)
Ta (0.5635, 0.0447, 0.4648)
N (0.0642, 0.9255, 0.3881)
N (0.3357, 0.7969, 0.2772)
N (0.5087, 0.8421, 0.7477)
N (0.5113, 0.0966, 0.7655)
N (0.5828, 0.3922, 0.4548)
N (0.9932, 0.4614, 0.0404)

# LaTaN3

An optimized crystal structure of LaTaN3 (PBE-GGA, Alexandria).

Output
Its crystal system is monoclinic.

Cell: 13.4948 3.7011 6.4118 Å, 90.00 116.17 90.00°
Space group Cm (No. 8)
Asymmetric unit:
La (0.0000, 0.0000, 0.0000)
La (0.2250, 0.0000, 0.5619)
Ta (0.2352, 0.5000, 0.0647)
Ta (0.4677, 0.0000, 0.4795)
N (0.0688, 0.5000, 0.3345)
N (0.0707, 0.5000, 0.8140)
N (0.2233, 0.0000, 0.1745)
N (0.2960, 0.5000, 0.8485)
N (0.3713, 0.5000, 0.5294)
N (0.4081, 0.5000, 0.3390)

# LaTaN3

An optimized crystal structure of LaTaN3 (PBE-GGA, Alexandria).

Output
Its crystal system is orthorhombic.

Cell: 3.6493 4.3709 9.1056 Å, 90.00 90.00 90.00°
Space group Pmm2 (No. 25)
Asymmetric unit:
La (0.0000, 0.0000, 0.0000)
La (0.0000, 0.5000, 0.3433)
Ta (0.5000, 0.0000, 0.5664)
Ta (0.5000, 0.5000, 0.7815)
N (0.0000, 0.0000, 0.4751)
N (0.0000, 0.5000, 0.8742)
N (0.5000, 0.0000, 0.7886)
N (0.5000, 0.1517, 0.1986)
N (0.5000, 0.5000, 0.5598)

# LaTaN3

An optimized crystal structure of LaTaN3 (PBE-GGA, Alexandria).

Output
Its crystal system is triclinic.

Cell: 3.5752 6.3428 6.8342 Å, 110.37 102.21 93.81°
Space group P1 (No. 1)
Asymmetric unit:
La (0.0000, 0.0000, 0.0000)
La (0.1912, 0.4941, 0.5468)
Ta (0.6581, 0.9579, 0.4604)
Ta (0.8295, 0.5049, 0.0140)
N (0.0908, 0.8247, 0.3134)
N (0.3677, 0.6381, 0.9473)
N (0.6214, 0.1768, 0.2693)
N (0.6478, 0.3324, 0.1730)
N (0.7485, 0.7674, 0.6313)
N (0.7585, 0.2492, 0.7209)

# LaTaN3

An optimized crystal structure of LaTaN3 (PBE-GGA, Alexandria).

Output
Its crystal system is monoclinic.

Cell: 11.0692 9.7265 5.5893 Å, 90.00 90.54 90.00°
Space group C2/c (No. 15)
Asymmetric unit:
La (0.0000, 0.1287, 0.2500)
La (0.0000, 0.3693, 0.7500)
Ta (0.2483, 0.0674, 0.6460)
N (0.1287, 0.0509, 0.9212)
N (0.1301, 0.4677, 0.0670)
N (0.1936, 0.2351, 0.4251)

# LaTaN3

An optimized crystal structure of LaTaN3 (PBE-GGA, Alexandria).

Output
Its crystal system is triclinic.

Cell: 3.8636 6.0867 6.6975 Å, 114.33 91.91 99.92°
Space group P1 (No. 1)
Asymmetric unit:
La (0.0000, 0.0000, 0.0000)
La (0.1954, 0.6277, 0.4459)
Ta (0.5639, 0.1621, 0.4699)
Ta (0.6237, 0.4289, 0.9625)
N (0.0309, 0.0133, 0.3822)
N (0.1418, 0.4701, 0.0515)
N (0.5196, 0.0719, 0.7557)
N (0.5941, 0.2771, 0.2336)
N (0.6768, 0.5248, 0.7052)
N (0.7270, 0.8208, 0.2763)

# LaTaN3

An optimized crystal structure of LaTaN3 (PBE-GGA, Alexandria).

Output
Its crystal system is tetragonal.

Cell: 4.1552 4.1552 17.4367 Å, 90.00 90.00 90.00°
Space group I-4m2 (No. 119)
Asymmetric unit:
La (0.0000, 0.0000, 0.0984)
Ta (0.0000, 0.0000, 0.5000)
Ta (0.0000, 0.5000, 0.2500)
N (0.0000, 0.1641, 0.3306)
N (0.0000, 0.5000, 0.5140)

# LaTa4N8

An optimized crystal structure of LaTa4N8 (PBE-GGA, Alexandria).

Output
Its crystal system is monoclinic.

Cell: 14.7647 3.1905 9.9494 Å, 90.00 131.40 90.00°
Space group Cm (No. 8)
Asymmetric unit:
La (0.0000, 0.0000, 0.0000)
Ta (0.2383, 0.5000, 0.5770)
Ta (0.2402, 0.0000, 0.9252)
Ta (0.4405, 0.0000, 0.6089)
Ta (0.4452, 0.5000, 0.2881)
N (0.0590, 0.0000, 0.7757)
N (0.1348, 0.0000, 0.4382)
N (0.2541, 0.5000, 0.8025)
N (0.2643, 0.5000, 0.0840)
N (0.3207, 0.5000, 0.4772)
N (0.3831, 0.0000, 0.7554)
N (0.4412, 0.0000, 0.1255)
N (0.4626, 0.0000, 0.4266)

# LaTaN3

An optimized crystal structure of LaTaN3 (PBE-GGA, Alexandria).

Output
Its crystal system is monoclinic.

Cell: 12.0612 4.1154 6.0451 Å, 90.00 113.38 90.00°
Space group Cm (No. 8)
Asymmetric unit:
La (0.0000, 0.0000, 0.0000)
La (0.2175, 0.0000, 0.6326)
Ta (0.2602, 0.5000, 0.2006)
Ta (0.4699, 0.0000, 0.4889)
N (0.1270, 0.5000, 0.3192)
N (0.1569, 0.5000, 0.8337)
N (0.2851, 0.5000, 0.8759)
N (0.2885, 0.0000, 0.2606)
N (0.4343, 0.0000, 0.7656)
N (0.4615, 0.5000, 0.4098)

# LaTa2N4

An optimized crystal structure of LaTa2N4 (PBE-GGA, Alexandria).

Output
Its crystal system is orthorhombic.

Cell: 3.2035 10.3772 10.5877 Å, 90.00 90.00 90.00°
Space group Cmcm (No. 63)
Asymmetric unit:
La (0.0000, 0.1161, 0.2500)
Ta (0.0000, 0.3706, 0.0647)
N (0.0000, 0.0000, 0.0000)
N (0.0000, 0.2641, 0.6067)
N (0.0000, 0.4277, 0.2500)

# LaTaN3

An optimized crystal structure of LaTaN3 (PBE-GGA, Alexandria).

Output
Its crystal system is monoclinic.

Cell: 7.0979 3.4099 5.8582 Å, 90.00 95.30 90.00°
Space group Cm (No. 8)
Asymmetric unit:
La (0.0000, 0.0000, 0.0000)
Ta (0.2775, 0.0000, 0.5078)
N (0.2136, 0.5000, 0.2844)
N (0.2991, 0.0000, 0.8388)
N (0.4807, 0.5000, 0.5244)

# La2TaN

An optimized crystal structure of La2TaN (PBE-GGA, Alexandria).

Output
Its crystal system is tetragonal.

Cell: 7.1808 7.1808 8.2285 Å, 90.00 90.00 90.00°
Space group I-42d (No. 122)
Asymmetric unit:
La (0.1566, 0.7500, 0.1250)
Ta (0.0000, 0.0000, 0.5000)
N (0.0000, 0.0000, 0.0000)

# LaTaN3

An optimized crystal structure of LaTaN3 (PBE-GGA, Alexandria).

Output
Its crystal system is trigonal.

Cell: 6.6466 6.6466 8.9528 Å, 90.00 90.00 120.00°
Space group R3m (No. 160, hexagonal axes)
Asymmetric unit:
La (0.0000, 0.0000, 0.0000)
Ta (0.0000, 0.0000, 0.6495)
N (0.0574, 0.5287, 0.4280)

# LaTaN3

An optimized crystal structure of LaTaN3 (PBE-GGA, Alexandria).

Output
Its crystal system is orthorhombic.

Cell: 3.8823 16.8450 5.1530 Å, 90.00 90.00 90.00°
Space group Cmcm (No. 63)
Asymmetric unit:
La (0.0000, 0.0728, 0.2500)
Ta (0.0000, 0.3734, 0.2500)
N (0.0000, 0.0793, 0.7500)
N (0.0000, 0.3412, 0.6196)

# LaTaN3

An optimized crystal structure of LaTaN3 (PBE-GGA, Alexandria).

Output
Its crystal system is orthorhombic.

Cell: 5.1121 5.5933 5.2474 Å, 90.00 90.00 90.00°
Space group Cmm2 (No. 35)
Asymmetric unit:
La (0.0000, 0.0000, 0.0000)
Ta (0.0000, 0.5000, 0.5275)
N (0.0000, 0.5000, 0.1625)
N (0.2500, 0.2500, 0.6668)

# LaTaN3

An optimized crystal structure of LaTaN3 (PBE-GGA, Alexandria).

Output
Its crystal system is monoclinic.

Cell: 5.1478 3.8154 7.3231 Å, 90.00 90.46 90.00°
Space group Pm (No. 6)
Asymmetric unit:
La (0.0000, 0.0000, 0.0000)
La (0.4903, 0.0000, 0.6805)
Ta (0.4633, 0.5000, 0.2019)
Ta (0.9863, 0.5000, 0.5053)
N (0.0825, 0.0000, 0.5120)
N (0.0948, 0.5000, 0.2171)
N (0.1454, 0.5000, 0.7863)
N (0.5123, 0.0000, 0.0915)
N (0.5865, 0.5000, 0.4524)
N (0.8605, 0.5000, 0.7860)

# LaTaN3

An optimized crystal structure of LaTaN3 (PBE-GGA, Alexandria).

Output
Its crystal system is triclinic.

Cell: 3.7408 6.4676 6.4851 Å, 76.44 82.54 83.28°
Space group P1 (No. 1)
Asymmetric unit:
La (0.0000, 0.0000, 0.0000)
La (0.1194, 0.5620, 0.7198)
Ta (0.5384, 0.5430, 0.2347)
Ta (0.6062, 0.0489, 0.5447)
N (0.0131, 0.6283, 0.3204)
N (0.1110, 0.9431, 0.6193)
N (0.5251, 0.2176, 0.7676)
N (0.5782, 0.7004, 0.9460)
N (0.6449, 0.2340, 0.2573)
N (0.6968, 0.7301, 0.4228)

# LaTaN3

An optimized crystal structure of LaTaN3 (PBE-GGA, Alexandria).

Output
Its crystal system is monoclinic.

Cell: 7.7856 5.4022 7.6779 Å, 90.00 111.16 90.00°
Space group P2_1/c (No. 14)
Asymmetric unit:
La (0.1748, 0.2415, 0.1480)
Ta (0.3947, 0.7390, 0.0245)
N (0.1482, 0.6058, 0.9456)
N (0.3235, 0.0844, 0.9383)
N (0.4622, 0.5852, 0.8112)

# LaTaN3

An optimized crystal structure of LaTaN3 (PBE-GGA, Alexandria).

Output
Its crystal system is tetragonal.

Cell: 4.0896 4.0896 4.1667 Å, 90.00 90.00 90.00°
Space group P4mm (No. 99)
Asymmetric unit:
La (0.0000, 0.0000, 0.0000)
Ta (0.5000, 0.5000, 0.5368)
N (0.0000, 0.5000, 0.5948)
N (0.5000, 0.5000, 0.0657)

# LaTaN3

An optimized crystal structure of LaTaN3 (PBE-GGA, Alexandria).

Output
Its crystal system is tetragonal.

Cell: 3.6567 3.6567 5.9287 Å, 90.00 90.00 90.00°
Space group P4mm (No. 99)
Asymmetric unit:
La (0.0000, 0.0000, 0.0000)
Ta (0.5000, 0.5000, 0.4058)
N (0.0000, 0.0000, 0.6216)
N (0.0000, 0.5000, 0.2551)

# LaTaN3

An optimized crystal structure of LaTaN3 (PBE-GGA, Alexandria).

Output
Its crystal system is triclinic.

Cell: 3.9811 5.8633 5.9439 Å, 94.36 95.39 94.57°
Space group P1 (No. 1)
Asymmetric unit:
La (0.0000, 0.0000, 0.0000)
La (0.0086, 0.5262, 0.4416)
Ta (0.4970, 0.4849, 0.9473)
Ta (0.5686, 0.9881, 0.4679)
N (0.0782, 0.0091, 0.4216)
N (0.5294, 0.7496, 0.1764)
N (0.5552, 0.2597, 0.1754)
N (0.5657, 0.7358, 0.6767)
N (0.7271, 0.2645, 0.7102)
N (0.9959, 0.3973, 0.8422)

# LaTaN3

An optimized crystal structure of LaTaN3 (PBE-GGA, Alexandria).

Output
Its crystal system is orthorhombic.

Cell: 3.5799 14.1062 5.2530 Å, 90.00 90.00 90.00°
Space group Cmcm (No. 63)
Asymmetric unit:
La (0.0000, 0.1631, 0.2500)
Ta (0.0000, 0.4531, 0.2500)
N (0.0000, 0.0000, 0.0000)
N (0.1833, 0.1737, 0.7500)

| no. | total magnetization (μB/cell) | calculated density (kg/m3) | total DFT energy (no corrections) (eV per formula unit) |
| --- | --- | --- | --- |
| 1 | 0.00 | 8296 | -46.00 |
| 2 | 0.00 | 8363 | -47.31 |
| 3 | 0.63 | 8275 | -47.38 |
| 4 | 0.00 | 8564 | -47.27 |
| 5 | 0.00 | 7989 | -47.08 |
| 6 | 0.00 | 8560 | -47.34 |
| 7 | 0.00 | 7984 | -44.98 |
| 8 | 0.00 | 9208 | -130.51 |
| 9 | 0.00 | 8727 | -47.59 |
| 10 | 0.00 | 10508 | -70.81 |
| 11 | 2.00 | 8513 | -46.11 |
| 12 | 10.14 | 7401 | -28.84 |
| 13 | 3.00 | 5263 | -43.40 |
| 14 | 0.00 | 7133 | -45.41 |
| 15 | 0.00 | 8010 | -47.08 |
| 16 | 0.00 | 8356 | -47.20 |
| 17 | 0.00 | 7979 | -47.23 |
| 18 | 0.00 | 7981 | -46.27 |
| 19 | 0.00 | 8623 | -47.10 |
| 20 | 1.00 | 7580 | -42.59 |
| 21 | 0.00 | 8759 | -47.51 |
| 22 | 0.00 | 9061 | -44.78 |